PaIn2PbF8 | Alexandria | PBE | optimized geometry; formation energy from raw total energies = -2.72 eV/atom; calculated total energy = -5.525 eV per atom; volume = 18.728 A^3/atom; magnetic moment = 0.08 μB/atom
1.0
-1.899 3.997 4.368
3.206 -3.162 4.287
3.999 2.913 -5.352
Pa In Pb F
1 2 1 8
Direct
0.250 0.750 0.500 Pa
0.750 0.250 0.500 In
0.000 0.000 0.000 In
0.500 0.500 0.000 Pb
0.160 0.639 0.733 F
0.572 0.639 0.733 F
0.361 0.428 0.267 F
0.907 0.840 0.267 F
0.572 0.093 0.733 F
0.361 0.840 0.267 F
0.160 0.093 0.733 F
0.907 0.428 0.267 F